(one)
# Sr2NiCl

Crystalline Sr2NiCl at its relaxed geometry (PBE, Alexandria).

Results
N(E_F): 2.4 states/eV/f.u.

Cell lengths 7.6599, 7.6599, 8.8973 Å; angles 90.00, 90.00, 90.00 degrees
Last column: nearest neighbours and their distance in Å.
Space group I-42d (No. 122)
Inequivalent atoms, fractional coordinates:
Sr: 0.2376 0.2500 0.1250 [8 per cell]  2 Ni 2.87, 2 Cl 2.99
Ni: 0.0000 0.0000 0.0000 [4 per cell]  4 Sr 2.87
Cl: 0.0000 0.0000 0.5000 [4 per cell]  4 Sr 2.99

=====

(two)
# Sr2NiCl

Crystalline Sr2NiCl at its relaxed geometry (PBE, Alexandria).

Results
N(E_F): 2.5 states/eV/f.u.

Cell lengths 5.4281, 5.4281, 3.6001 Å; angles 90.00, 90.00, 90.00 degrees
Last column: nearest neighbours and their distance in Å.
Space group P4/mmm (No. 123)
Inequivalent atoms, fractional coordinates:
Sr: 0.0000 0.5000 0.0000 [2 per cell]  4 Cl 3.26, 4 Ni 3.26, 2 Sr 3.60
Ni: 0.0000 0.0000 0.5000 [1 per cell]  8 Sr 3.26, 2 Ni 3.60
Cl: 0.5000 0.5000 0.5000 [1 per cell]  8 Sr 3.26, 2 Cl 3.60

=====

Order from most stable to least stable according to the calculation: (two), (one)

=====

(one)
# Sr2NiCl

Crystalline Sr2NiCl at its relaxed geometry (PBE, Alexandria).

Results
N(E_F): 2.9 states/eV/f.u.

Cell lengths 7.5403, 7.5403, 7.5403 Å; angles 90.00, 90.00, 90.00 degrees
Last column: nearest neighbours and their distance in Å.
Space group Fm-3m (No. 225)
Inequivalent atoms, fractional coordinates:
Sr: 0.2500 0.2500 0.2500 [8 per cell]  4 Cl 3.27, 4 Ni 3.27
Ni: 0.0000 0.0000 0.0000 [4 per cell]  8 Sr 3.27
Cl: 0.0000 0.0000 0.5000 [4 per cell]  8 Sr 3.27

=====

(two)
# Sr2NiCl

Crystalline Sr2NiCl at its relaxed geometry (PBE, Alexandria).

Results
N(E_F): 2.3 states/eV/f.u.

Cell lengths 4.1809, 4.1809, 23.2620 Å; angles 90.00, 90.00, 120.00 degrees
Last column: nearest neighbours and their distance in Å.
Space group R-3m (No. 166, hexagonal axes)
Inequivalent atoms, fractional coordinates:
Sr: 0.0000 0.0000 0.2402 [6 per cell]  3 Ni 2.96, 3 Cl 3.24
Ni: 0.0000 0.0000 0.5000 [3 per cell]  6 Sr 2.96
Cl: 0.0000 0.0000 0.0000 [3 per cell]  6 Sr 3.24

=====

Order from most stable to least stable according to the calculation: (two), (one)

=====

(one)
# Sr2NiCl

Crystalline Sr2NiCl at its relaxed geometry (PBE, Alexandria).

Results
N(E_F): 2.5 states/eV/f.u.

Cell lengths 4.8718, 3.8508, 11.8842 Å; angles 90.00, 90.00, 90.00 degrees
Last column: nearest neighbours and their distance in Å.
Space group Amm2 (No. 38)
Inequivalent atoms, fractional coordinates:
Sr: 0.0000 0.0000 0.0000 [2 per cell]  1 Cl 3.02, 4 Ni 3.11
Sr: 0.5000 0.0000 0.2606 [2 per cell]  1 Ni 3.00, 4 Cl 3.11
Ni: 0.5000 0.0000 0.5129 [2 per cell]  5 Sr 3.00-3.11
Cl: 0.0000 0.0000 0.7463 [2 per cell]  5 Sr 3.02-3.11

=====

(two)
# Sr2NiCl

Crystalline Sr2NiCl at its relaxed geometry (PBE, Alexandria).

Results
N(E_F): 2.0 states/eV/f.u.

Cell lengths 4.3706, 4.3706, 6.0467 Å; angles 90.00, 90.00, 90.00 degrees
Last column: nearest neighbours and their distance in Å.
Space group P4/mmm (No. 123)
Inequivalent atoms, fractional coordinates:
Sr: 0.0000 0.0000 0.0000 [1 per cell]  2 Ni 3.02, 4 Cl 3.09
Sr: 0.5000 0.5000 0.5000 [1 per cell]  2 Cl 3.02, 4 Ni 3.09
Ni: 0.0000 0.0000 0.5000 [1 per cell]  6 Sr 3.02-3.09
Cl: 0.5000 0.5000 0.0000 [1 per cell]  6 Sr 3.02-3.09

=====

Order from most stable to least stable according to the calculation: (two), (one)

=====

(one)
# Ta2NiCl

Crystalline Ta2NiCl at its relaxed geometry (PBE, Alexandria).

Results
N(E_F): 4.7 states/eV/f.u.

Cell lengths 3.0544, 3.0544, 27.6161 Å; angles 90.00, 90.00, 120.00 degrees
Last column: nearest neighbours and their distance in Å.
Space group R3m (No. 160, hexagonal axes)
Inequivalent atoms, fractional coordinates:
Ta: 0.0000 0.0000 0.0000 [3 per cell]  3 Cl 2.51
Ta: 0.0000 0.0000 0.2439 [3 per cell]  3 Ni 2.51
Ni: 0.0000 0.0000 0.5127 [3 per cell]  3 Ta 2.51
Cl: 0.0000 0.0000 0.7313 [3 per cell]  3 Ta 2.51

=====

(two)
# Ta2NiCl

Crystalline Ta2NiCl at its relaxed geometry (PBE, Alexandria).

Results
N(E_F): 5.9 states/eV/f.u.

Cell lengths 6.4543, 6.4543, 6.4543 Å; angles 90.00, 90.00, 90.00 degrees
Last column: nearest neighbours and their distance in Å.
Space group F-43m (No. 216)
Inequivalent atoms, fractional coordinates:
Ta: 0.0000 0.0000 0.0000 [4 per cell]  4 Ta 2.79, 4 Cl 2.79
Ta: 0.2500 0.2500 0.2500 [4 per cell]  4 Ta 2.79, 4 Ni 2.79
Ni: 0.0000 0.0000 0.5000 [4 per cell]  4 Cl 2.79, 4 Ta 2.79
Cl: 0.2500 0.2500 0.7500 [4 per cell]  4 Ta 2.79, 4 Ni 2.79

=====

(three)
# Ta2NiCl

Crystalline Ta2NiCl at its relaxed geometry (PBE, Alexandria).

Results
N(E_F): 3.9 states/eV/f.u.

Cell lengths 2.8339, 4.6321, 4.9098 Å; angles 90.00, 95.81, 90.00 degrees
Last column: nearest neighbours and their distance in Å.
Space group Pm (No. 6)
Inequivalent atoms, fractional coordinates:
Ta: 0.0000 0.0000 0.0000 [1 per cell]  2 Cl 2.43, 1 Ni 2.59
Ta: 0.2260 0.5000 0.6413 [1 per cell]  2 Cl 2.43-2.57, 2 Ni 2.63
Ni: 0.5744 0.0000 0.5074 [1 per cell]  5 Ta 2.59-2.88, 2 Ni 2.83
Cl: 0.0623 0.5000 0.1467 [1 per cell]  4 Ta 2.43-2.57

=====

Order from most stable to least stable according to the calculation: (one), (three), (two)

=====

(one)
# Ta2NiCl

Crystalline Ta2NiCl at its relaxed geometry (PBE, Alexandria).

Results
N(E_F): 4.3 states/eV/f.u.

Cell lengths 2.9857, 4.2386, 5.2303 Å; angles 90.00, 90.00, 90.00 degrees
Last column: nearest neighbours and their distance in Å.
Space group Pmmm (No. 47)
Inequivalent atoms, fractional coordinates:
Ta: 0.0000 0.0000 0.0000 [1 per cell]  4 Cl 2.59
Ta: 0.5000 0.0000 0.5000 [1 per cell]  4 Ni 2.59
Ni: 0.0000 0.5000 0.5000 [1 per cell]  4 Ta 2.59
Cl: 0.5000 0.5000 0.0000 [1 per cell]  4 Ta 2.59

=====

(two)
# Ta2NiCl

Crystalline Ta2NiCl at its relaxed geometry (PBE, Alexandria).

Results
N(E_F): 3.5 states/eV/f.u.

Cell lengths 2.9152, 2.9152, 8.5625 Å; angles 90.00, 90.00, 90.00 degrees
Last column: nearest neighbours and their distance in Å.
Space group P4mm (No. 99)
Inequivalent atoms, fractional coordinates:
Ta: 0.0000 0.0000 0.0000 [1 per cell]  4 Ni 2.62, 4 Ta 2.92
Ta: 0.5000 0.5000 0.2586 [1 per cell]  4 Cl 2.68, 4 Ta 2.92
Ni: 0.5000 0.5000 0.8114 [1 per cell]  4 Ta 2.62, 4 Ni 2.92
Cl: 0.0000 0.0000 0.4595 [1 per cell]  4 Ta 2.68, 4 Cl 2.92

=====

Order from most stable to least stable according to the calculation: (two), (one)

=====

(one)
# Ta2NiCl

Crystalline Ta2NiCl at its relaxed geometry (PBE, Alexandria).

Results
N(E_F): 3.0 states/eV/f.u.

Cell lengths 9.2471, 2.8915, 4.7146 Å; angles 90.00, 101.86, 90.00 degrees
Last column: nearest neighbours and their distance in Å.
Space group Cm (No. 8)
Inequivalent atoms, fractional coordinates:
Ta: 0.0000 0.0000 0.0000 [2 per cell]  3 Ni 2.58-2.59, 4 Cl 2.74-2.79, 2 Ta 2.89
Ta: 0.2292 0.0000 0.6047 [2 per cell]  3 Cl 2.58-2.60, 4 Ni 2.75-2.78, 2 Ta 2.89
Ni: 0.2366 0.5000 0.1112 [2 per cell]  7 Ta 2.58-2.78, 2 Ni 2.89
Cl: 0.4930 0.0000 0.4904 [2 per cell]  7 Ta 2.58-2.79, 2 Cl 2.89

=====

(two)
# Ta2NiCl

Crystalline Ta2NiCl at its relaxed geometry (PBE, Alexandria).

Results
N(E_F): 5.1 states/eV/f.u.

Cell lengths 3.6860, 3.6860, 9.3923 Å; angles 90.00, 90.00, 90.00 degrees
Last column: nearest neighbours and their distance in Å.
Space group I-4m2 (No. 119)
Inequivalent atoms, fractional coordinates:
Ta: 0.0000 0.0000 0.0000 [2 per cell]  4 Ni 2.61
Ta: 0.0000 0.5000 0.2500 [2 per cell]  4 Cl 2.61
Ni: 0.0000 0.0000 0.5000 [2 per cell]  4 Ta 2.61
Cl: 0.0000 0.5000 0.7500 [2 per cell]  4 Ta 2.61

=====

(three)
# Ta2NiCl

Crystalline Ta2NiCl at its relaxed geometry (PBE, Alexandria).

Results
N(E_F): 6.2 states/eV/f.u.

Cell lengths 6.2526, 6.2526, 6.2526 Å; angles 90.00, 90.00, 90.00 degrees
Last column: nearest neighbours and their distance in Å.
Space group Fm-3m (No. 225)
Inequivalent atoms, fractional coordinates:
Ta: 0.2500 0.2500 0.2500 [8 per cell]  4 Cl 2.71, 4 Ni 2.71
Ni: 0.0000 0.0000 0.0000 [4 per cell]  8 Ta 2.71
Cl: 0.0000 0.0000 0.5000 [4 per cell]  8 Ta 2.71

=====

Order from most stable to least stable according to the calculation: (one), (three), (two)

=====

(one)
# Ta2NiCl

Crystalline Ta2NiCl at its relaxed geometry (PBE, Alexandria).

Results
N(E_F): 3.6 states/eV/f.u.

Cell lengths 2.9420, 2.9420, 6.9672 Å; angles 90.00, 90.00, 90.00 degrees
Last column: nearest neighbours and their distance in Å.
Space group P4/mmm (No. 123)
Inequivalent atoms, fractional coordinates:
Ta: 0.0000 0.0000 0.2409 [2 per cell]  4 Ni 2.67, 4 Cl 2.75, 4 Ta 2.94
Ni: 0.5000 0.5000 0.0000 [1 per cell]  8 Ta 2.67, 4 Ni 2.94
Cl: 0.5000 0.5000 0.5000 [1 per cell]  8 Ta 2.75, 4 Cl 2.94

=====

(two)
# Ta2NiCl

Crystalline Ta2NiCl at its relaxed geometry (PBE, Alexandria).

Results
N(E_F): 3.4 states/eV/f.u.

Cell lengths 8.0145, 2.8800, 5.6736 Å; angles 90.00, 100.63, 90.00 degrees
Last column: nearest neighbours and their distance in Å.
Space group C2/m (No. 12)
Inequivalent atoms, fractional coordinates:
Ta: 0.2452 0.0000 0.2370 [4 per cell]  3 Ni 2.60-2.64, 3 Cl 2.68-2.71, 2 Ta 2.88
Ni: 0.0000 0.5000 0.0000 [2 per cell]  6 Ta 2.60-2.64, 2 Ni 2.88
Cl: 0.0000 0.0000 0.5000 [2 per cell]  6 Ta 2.68-2.71, 2 Cl 2.88

=====

(three)
# Ta2NiCl

Crystalline Ta2NiCl at its relaxed geometry (PBE, Alexandria).

Results
N(E_F): 5.5 states/eV/f.u.

Cell lengths 2.9788, 2.9991, 7.4672 Å; angles 90.00, 90.00, 90.00 degrees
Last column: nearest neighbours and their distance in Å.
Space group Pmmm (No. 47)
Inequivalent atoms, fractional coordinates:
Ta: 0.0000 0.0000 0.2106 [2 per cell]  2 Cl 2.62, 4 Ni 2.63
Ni: 0.5000 0.5000 0.0000 [1 per cell]  8 Ta 2.63
Cl: 0.5000 0.0000 0.5000 [1 per cell]  4 Ta 2.62

=====

(four)
# Ta2NiCl

Crystalline Ta2NiCl at its relaxed geometry (PBE, Alexandria).

Results
N(E_F): 5.3 states/eV/f.u.

Cell lengths 2.9318, 2.9318, 25.6757 Å; angles 90.00, 90.00, 120.00 degrees
Last column: nearest neighbours and their distance in Å.
Space group R-3m (No. 166, hexagonal axes)
Inequivalent atoms, fractional coordinates:
Ta: 0.0000 0.0000 0.2478 [6 per cell]  3 Ni 2.68, 3 Cl 2.77, 6 Ta 2.93
Ni: 0.0000 0.0000 0.5000 [3 per cell]  6 Ta 2.68, 6 Ni 2.93
Cl: 0.0000 0.0000 0.0000 [3 per cell]  6 Ta 2.77, 6 Cl 2.93

=====

Order from most stable to least stable according to the calculation: (three), (one), (four), (two)

=====

(one)
# Ta2NiCl

Crystalline Ta2NiCl at its relaxed geometry (PBE, Alexandria).

Results
N(E_F): 4.3 states/eV/f.u.

Cell lengths 2.9026, 4.5381, 9.5706 Å; angles 90.00, 90.00, 90.00 degrees
Last column: nearest neighbours and their distance in Å.
Space group Imm2 (No. 44)
Inequivalent atoms, fractional coordinates:
Ta: 0.0000 0.0000 0.0000 [2 per cell]  2 Cl 2.50, 4 Ni 2.70
Ta: 0.0000 0.5000 0.2252 [2 per cell]  4 Cl 2.70, 2 Ni 2.79, 4 Ta 2.90-3.00
Ni: 0.0000 0.0000 0.4765 [2 per cell]  6 Ta 2.70-2.79, 2 Ni 2.90, 2 Cl 2.91
Cl: 0.0000 0.5000 0.7131 [2 per cell]  6 Ta 2.50-2.70

=====

(two)
# Ta2NiCl

Crystalline Ta2NiCl at its relaxed geometry (PBE, Alexandria).

Results
N(E_F): 4.5 states/eV/f.u.

Cell lengths 2.9577, 5.1171, 8.6626 Å; angles 90.00, 90.00, 90.00 degrees
Last column: nearest neighbours and their distance in Å.
Space group Immm (No. 71)
Inequivalent atoms, fractional coordinates:
Ta: 0.0000 0.0000 0.2402 [4 per cell]  2 Cl 2.55, 2 Ni 2.69
Ni: 0.0000 0.5000 0.0000 [2 per cell]  4 Ta 2.69, 4 Cl 2.96, 2 Ni 2.96
Cl: 0.0000 0.5000 0.5000 [2 per cell]  4 Ta 2.55

=====

(three)
# Ta2NiCl

Crystalline Ta2NiCl at its relaxed geometry (PBE, Alexandria).

Results
N(E_F): 1.4 states/eV/f.u.

Cell lengths 5.3320, 5.3320, 11.5927 Å; angles 90.00, 90.00, 90.00 degrees
Last column: nearest neighbours and their distance in Å.
Space group I-42d (No. 122)
Inequivalent atoms, fractional coordinates:
Ta: 0.2224 0.2500 0.1250 [8 per cell]  2 Ni 2.30, 2 Cl 2.46
Ni: 0.0000 0.0000 0.0000 [4 per cell]  4 Ta 2.30
Cl: 0.0000 0.0000 0.5000 [4 per cell]  4 Ta 2.46

=====

Order from most stable to least stable according to the calculation: (one), (two), (three)